## Ba2In3Sn (PBE)

Data for crystalline Ba2In3Sn at its relaxed geometry.

Lattice parameters (Å, degrees): 5.0875 6.7282 6.9231 75.02 68.44 67.79
Atoms (fractional coordinates):
In1 0.8447 0.2312 0.0795
In2 0.8309 0.6123 0.7258
In3 0.1610 0.7650 0.9129
Sn1 0.1641 0.3901 0.2817
Ba1 0.5585 0.1962 0.6867
Ba2 0.4407 0.8051 0.3134

## Properties
- ΔE to the lowest computed polymorph (eV per atom) = 0.000
- formation enthalpy at 0 K (eV/atom) = -0.491
- M_tot (μB per formula unit) = 0.00